Computed, not measured: a geometry-optimized NpS6Cl12 structure at the GGA-PBE level of DFT.

Output
crystal system: trigonal
M_tot: 3.086 μB/cell
density of states at the Fermi level: 13.0 states/eV/f.u.
formation energy from raw total energies: -377 meV per atom
calculated volume: 688 Å³/cell
uncorrected energy: -3.5281 eV/atom

a = 9.366 Å, b = 9.366 Å, c = 9.366 Å
α = 68.73°, β = 68.73°, γ = 68.73°
Positions (direct):
Np1 0.000 0.000 0.000
S1 0.218 0.294 0.456
S2 0.294 0.456 0.218
S3 0.456 0.218 0.294
S4 0.544 0.782 0.706
S5 0.706 0.544 0.782
S6 0.782 0.706 0.544
Cl1 0.016 0.679 0.543
Cl2 0.104 0.243 0.856
Cl3 0.144 0.896 0.757
Cl4 0.243 0.856 0.104
Cl5 0.321 0.457 0.984
Cl6 0.457 0.984 0.321
Cl7 0.543 0.016 0.679
Cl8 0.679 0.543 0.016
Cl9 0.757 0.144 0.896
Cl10 0.856 0.104 0.243
Cl11 0.896 0.757 0.144
Cl12 0.984 0.321 0.457

Computed, not measured: a geometry-optimized NpS2Cl5 structure at the GGA-PBE level of DFT.

Output
crystal system: triclinic
M_tot: 4.000 μB/cell
density of states at the Fermi level: 8.9 states/eV/f.u.
formation energy from raw total energies: -956 meV per atom
calculated volume: 310 Å³/cell
uncorrected energy: -4.7595 eV/atom

a = 5.352 Å, b = 7.920 Å, c = 8.311 Å
α = 92.70°, β = 108.32°, γ = 109.72°
Positions (direct):
Np1 0.000 0.000 0.000
S1 0.165 0.574 0.479
S2 0.842 0.427 0.521
Cl1 0.135 0.965 0.309
Cl2 0.212 0.337 0.089
Cl3 0.500 0.000 0.000
Cl4 0.789 0.663 0.912
Cl5 0.866 0.035 0.691

Computed, not measured: a geometry-optimized NpS2Cl2 structure at the GGA-PBE level of DFT.

Output
crystal system: monoclinic
M_tot: 6.000 μB/cell
density of states at the Fermi level: 8.6 states/eV/f.u.
formation energy from raw total energies: -1229 meV per atom
calculated volume: 305 Å³/cell
uncorrected energy: -6.2065 eV/atom

a = 7.121 Å, b = 7.121 Å, c = 7.385 Å
α = 98.50°, β = 98.50°, γ = 121.22°
Positions (direct):
Np1 0.152 0.848 0.000
Np2 0.848 0.152 0.000
S1 0.098 0.098 0.288
S2 0.297 0.297 0.133
S3 0.703 0.703 0.867
S4 0.902 0.902 0.712
Cl1 0.040 0.446 0.779
Cl2 0.446 0.040 0.779
Cl3 0.554 0.960 0.221
Cl4 0.960 0.554 0.221